This record from Alexandria via LeMat-Bulk describes crystalline CaLaFeO4 at its relaxed geometry. The functional is PBE+U.

a = 6.756 Å, b = 6.756 Å, c = 6.756 Å
α = 146.46°, β = 146.46°, γ = 48.16°
Sites, in units of the cell vectors:
1 Ca 0.000 0.000 0.000
2 La 0.715 0.715 0.000
3 Fe 0.366 0.366 0.000
4 O 0.184 0.184 0.000
5 O 0.356 0.856 0.500
6 O 0.530 0.530 0.000
7 O 0.856 0.356 0.500

## Properties
- Offset from the most stable computed form: 0.0 meV per atom
- M_tot: 5.000 μB per formula unit
- Final energy: -0.2653 Ha/atom



This record from Alexandria via LeMat-Bulk describes crystalline CaLaFeO4 at its relaxed geometry. The functional is PBE+U.

a = 6.804 Å, b = 6.804 Å, c = 5.394 Å
α = 90.00°, β = 90.00°, γ = 132.94°
Sites, in units of the cell vectors:
1 Ca 0.103 0.897 0.750
2 Ca 0.897 0.103 0.250
3 La 0.391 0.609 0.750
4 La 0.609 0.391 0.250
5 Fe 0.247 0.753 0.250
6 Fe 0.753 0.247 0.750
7 O 0.026 0.538 0.974
8 O 0.081 0.919 0.250
9 O 0.422 0.578 0.250
10 O 0.462 0.974 0.526
11 O 0.538 0.026 0.026
12 O 0.578 0.422 0.750
13 O 0.919 0.081 0.750
14 O 0.974 0.462 0.474

## Properties
- Offset from the most stable computed form: 101.6 meV per atom
- M_tot: 2.999 μB per formula unit
- Final energy: -0.2616 Ha/atom



This record from Alexandria via LeMat-Bulk describes crystalline CaLaFeSnO6 at its relaxed geometry. The functional is PBE+U.

a = 5.592 Å, b = 5.721 Å, c = 9.736 Å
α = 90.00°, β = 124.85°, γ = 90.00°
Sites, in units of the cell vectors:
1 Ca 0.000 0.200 0.000
2 Ca 0.000 0.800 0.500
3 La 0.475 0.294 0.500
4 La 0.475 0.706 0.000
5 Fe 0.237 0.249 0.751
6 Fe 0.237 0.751 0.251
7 Sn 0.735 0.249 0.249
8 Sn 0.735 0.751 0.749
9 O 0.083 0.040 0.299
10 O 0.083 0.960 0.799
11 O 0.385 0.457 0.199
12 O 0.385 0.543 0.699
13 O 0.479 0.046 0.701
14 O 0.479 0.954 0.201
15 O 0.582 0.279 0.997
16 O 0.582 0.721 0.497
17 O 0.898 0.217 0.502
18 O 0.898 0.783 0.002
19 O 0.993 0.452 0.800
20 O 0.993 0.548 0.300

## Properties
- M_tot: 4.992 μB per formula unit
- Final energy: -0.2576 Ha/atom



This record from Alexandria via LeMat-Bulk describes crystalline CaLaVFeO6 at its relaxed geometry. The functional is PBE+U.

a = 5.440 Å, b = 5.440 Å, c = 5.440 Å
α = 60.00°, β = 60.00°, γ = 60.00°
Sites, in units of the cell vectors:
1 Ca 0.000 0.000 0.000
2 La 0.500 0.500 0.500
3 V 0.750 0.750 0.750
4 Fe 0.250 0.250 0.250
5 O 0.506 0.506 0.994
6 O 0.506 0.994 0.506
7 O 0.506 0.994 0.994
8 O 0.994 0.506 0.506
9 O 0.994 0.506 0.994
10 O 0.994 0.994 0.506

## Properties
- Offset from the most stable computed form: 267.2 meV per atom
- M_tot: 0.036 μB per formula unit
- Final energy: -0.2653 Ha/atom